Below is a relaxed structure of RbPmFeF6, with properties calculated at the GGA+U level.

Its calculated volume is 153.0 Å³/f.u. Its uncorrected energy is -5.748 eV per atom. As for the total magnetization: 4.00 μB/f.u.

The structure belongs to space group Imma (No. 74); the cell edges are 7.433, 7.829 and 10.517 Å and the angles 90.00°, 90.00° and 90.00°. Symmetry generates all atoms from Rb at (0.000, 0.250, 0.090), Pm at (0.000, 0.000, 0.500), Fe at (0.250, 0.250, 0.750), F at (0.000, 0.250, 0.384), F at (0.000, 0.250, 0.648) and F at (0.234, 0.054, 0.882).


Below is a relaxed structure of Pr2FeF8, with properties calculated at the GGA+U level.

Its calculated volume is 147.7 Å³/f.u. Its uncorrected energy is -6.316 eV per atom. As for the total magnetization: 4.00 μB/f.u.

The structure belongs to space group C2/m (No. 12); the cell edges are 15.186, 3.836 and 5.399 Å and the angles 90.00°, 110.09° and 90.00°. Symmetry generates all atoms from Pr at (0.170, 0.000, 0.163), Fe at (0.000, 0.500, 0.500), F at (0.039, 0.000, 0.754), F at (0.090, 0.500, 0.291), F at (0.176, 0.500, 0.894) and F at (0.225, 0.000, 0.627).


Below is a relaxed structure of Fe2PtF, with properties calculated at the GGA+U level.

Its calculated volume is 59.0 Å³/f.u. Its uncorrected energy is -5.068 eV per atom. As for the total magnetization: 7.56 μB/f.u. Its energy relative to the lowest polymorph listed for this composition is 0 meV/atom.

The structure belongs to space group I-42d (No. 122); the cell edges are 6.287, 6.287 and 5.966 Å and the angles 90.00°, 90.00° and 90.00°. Symmetry generates all atoms from Fe at (0.202, 0.250, 0.125), Pt at (0.000, 0.000, 0.500) and F at (0.000, 0.000, 0.000).


Below is a relaxed structure of FePt3F, with properties calculated at the GGA+U level.

Its calculated volume is 102.2 Å³/f.u. Its uncorrected energy is -4.011 eV per atom. As for the total magnetization: 5.11 μB/f.u. Its energy relative to the lowest polymorph listed for this composition is 274 meV/atom.

The structure belongs to space group Pm-3m (No. 221); the cell edges are 4.676, 4.676 and 4.676 Å and the angles 90.00°, 90.00° and 90.00°. Symmetry generates all atoms from Fe at (0.000, 0.000, 0.000), Pt at (0.000, 0.000, 0.500) and F at (0.500, 0.500, 0.500).